# PBE As2S3, optimized geometry
# Crystal system: trigonal
# E_form (uncorrected): 0.000 eV/atom
data_As2S3
_chemical_formula_sum 'As12 S18'
_space_group_name_H-M_alt 'R -3 c'
_space_group_IT_number 167
_space_group_name_Hall '-R 3 2"c'
_cell_length_a 7.1604
_cell_length_b 7.1604
_cell_length_c 17.9397
_cell_angle_alpha 90.00
_cell_angle_beta 90.00
_cell_angle_gamma 120.00
loop_
_atom_site_label
_atom_site_type_symbol
_atom_site_fract_x
_atom_site_fract_y
_atom_site_fract_z
As1 As 0.0000 0.0000 0.1702
S1 S 0.0000 0.2636 0.2500



# PBE Mg2BeIn, optimized geometry
# Offset from the most stable computed form: 0.34 eV/f.u.
# Crystal system: monoclinic
# N(E_F): 2.95 states/eV/cell
# ΔE_f: 6.0 kcal/mol of atoms
data_Mg2BeIn
_chemical_formula_sum 'Mg4 Be2 In2'
_space_group_name_H-M_alt 'C 1 2/m 1'
_space_group_IT_number 12
_cell_length_a 5.8455
_cell_length_b 8.4710
_cell_length_c 3.1325
_cell_angle_alpha 90.00
_cell_angle_beta 90.34
_cell_angle_gamma 90.00
loop_
_space_group_symop_operation_xyz
'x,y,z'
'-x,-y,-z'
'-x,y,-z'
'x,-y,z'
'x+1/2,y+1/2,z'
'-x+1/2,-y+1/2,-z'
'-x+1/2,y+1/2,-z'
'x+1/2,-y+1/2,z'
loop_
_atom_site_label
_atom_site_type_symbol
_atom_site_fract_x
_atom_site_fract_y
_atom_site_fract_z
Mg1 Mg 0.2500 0.2500 0.0000
Be1 Be 0.0000 0.0000 0.5000
In1 In 0.0000 0.5000 0.5000



Which mass density belongs to each record? In order, 3077 3692 kg/m³.